Here is a PBEsol-optimized structure of PbCl2 from Alexandria. Energies are from meta-GGA SCAN.

Computed properties:
* size of the total moment: 0.0 μB per cell
* SG: No. 136
* DOS at the Fermi energy: 0.00 states/eV per cell
* final energy: -190.66 eV per cell
* ΔE_f (raw): -3.6 eV per formula unit

Unit cell a=4.3647 b=6.6813 c=6.6813 alpha=90.00 beta=90.00 gamma=90.00
Closest atoms and distances in Å follow each position.
Positions (direct):
Pb  0.5000  0.5000  0.5000  6 Cl 2.86-2.87
Pb  0.0000  0.0000  0.0000  6 Cl 2.86-2.87
Cl  0.5000  0.1977  0.8023  3 Pb 2.86-2.87
Cl  0.0000  0.3023  0.3023  3 Pb 2.86-2.87
Cl  0.5000  0.8023  0.1977  3 Pb 2.86-2.87
Cl  0.0000  0.6977  0.6977  3 Pb 2.86-2.87